Crystalline Mn2NiSF at its relaxed geometry, computed with GGA+U.

As for the symmetry: P4/mmm (123). The energy is -22.01 eV/cell.

abc: 4.0825 5.1490 4.0825
angles: 90.00 90.00 90.00
Site moments in Bohr magnetons follow the coordinates.
Element x y z (fractional)
S1 0.0000 0.5000 0.0000  0.00
F1 0.0000 0.0000 0.0000  0.09
Mn1 0.5000 0.0000 0.0000  4.54
Ni1 0.5000 0.5000 0.5000  -0.07
Mn2 0.0000 0.0000 0.5000  4.60